This record from the Alexandria database describes crystalline La2TiH at its relaxed geometry. The functional is PBE-GGA.

Unit cell a=3.2814 b=3.2814 c=27.8472 alpha=90.00 beta=90.00 gamma=120.00
Closest atoms and distances in Å follow each position.
Space group R-3m (No. 166, hexagonal axes)
One atom of each set of equivalent atoms:
La (0.0000, 0.0000, 0.1050)  3 H 2.56
Ti (0.0000, 0.0000, 0.0000)  2 La 2.92
H (0.0000, 0.0000, 0.5000)  6 La 2.56

## Properties
**D(E_F)**: 1.300 states/eV/atom
**Energy above the most stable polymorph in this dataset**: 0.0 kJ/mol of formula units